Zr2VIr: optimized geometry, GGA-PBE.

CIF file:
```
data_Zr2VIr
_chemical_formula_sum 'Zr4 V2 Ir2'
_cell_length_a 5.6185
_cell_length_b 4.5895
_cell_length_c 5.6590
_cell_angle_alpha 90.00
_cell_angle_beta 98.74
_cell_angle_gamma 90.00
_space_group_name_H-M_alt 'P 1'
_space_group_IT_number 1
loop_
_space_group_symop_operation_xyz
'x,y,z'
loop_
_atom_site_label
_atom_site_fract_x
_atom_site_fract_y
_atom_site_fract_z
V1 0.5995 0.7500 0.9371
V2 0.4005 0.2500 0.0629
Zr1 0.1280 0.7500 0.1808
Ir1 0.1335 0.7500 0.6993
Zr2 0.3550 0.2500 0.5633
Zr3 0.6450 0.7500 0.4367
Zr4 0.8720 0.2500 0.8192
Ir2 0.8665 0.2500 0.3007
```

Summary:
ΔE to the lowest computed polymorph	0.32	eV per formula unit

BaAgP2: optimized geometry, GGA-PBE.

CIF file:
```
data_BaAgP2
_chemical_formula_sum 'Ba1 Ag1 P2'
_cell_length_a 5.7084
_cell_length_b 5.7084
_cell_length_c 5.7084
_cell_angle_alpha 133.69
_cell_angle_beta 133.69
_cell_angle_gamma 67.57
_space_group_name_H-M_alt 'P 1'
_space_group_IT_number 1
loop_
_space_group_symop_operation_xyz
'x,y,z'
loop_
_atom_site_label
_atom_site_fract_x
_atom_site_fract_y
_atom_site_fract_z
P1 0.2500 0.7500 0.5000
P2 0.0000 0.0000 0.0000
Ag1 0.5000 0.5000 0.0000
Ba1 0.7500 0.2500 0.5000
```

Summary:
ΔE to the lowest computed polymorph	2.63	eV per formula unit

La3Pr3Ga2Ge: optimized geometry, GGA-PBE.

CIF file:
```
data_La3Pr3Ga2Ge
_chemical_formula_sum 'La3 Pr3 Ga2 Ge1'
_cell_length_a 4.4816
_cell_length_b 8.2873
_cell_length_c 8.2873
_cell_angle_alpha 120.00
_cell_angle_beta 90.00
_cell_angle_gamma 90.00
_space_group_name_H-M_alt 'P 1'
_space_group_IT_number 1
loop_
_space_group_symop_operation_xyz
'x,y,z'
loop_
_atom_site_label
_atom_site_fract_x
_atom_site_fract_y
_atom_site_fract_z
Pr1 0.5000 0.2683 0.2683
Ge1 0.0000 0.0000 0.0000
La1 0.0000 0.0000 0.4013
Ga1 0.5000 0.3333 0.6667
La2 0.0000 0.4013 0.0000
Pr2 0.5000 0.0000 0.7317
Ga2 0.5000 0.6667 0.3333
La3 0.0000 0.5987 0.5987
Pr3 0.5000 0.7317 0.0000
```

TaCo2Rh: optimized geometry, GGA-PBE.

CIF file:
```
data_TaCo2Rh
_chemical_formula_sum 'Ta1 Co2 Rh1'
_cell_length_a 4.2518
_cell_length_b 4.2518
_cell_length_c 4.2518
_cell_angle_alpha 60.00
_cell_angle_beta 60.00
_cell_angle_gamma 60.00
_space_group_name_H-M_alt 'P 1'
_space_group_IT_number 1
loop_
_space_group_symop_operation_xyz
'x,y,z'
loop_
_atom_site_label
_atom_site_fract_x
_atom_site_fract_y
_atom_site_fract_z
Rh1 0.5000 0.5000 0.5000
Co1 0.2500 0.2500 0.2500
Co2 0.0000 0.0000 0.0000
Ta1 0.7500 0.7500 0.7500
```

Summary:
ΔE to the lowest computed polymorph	1.11	eV per formula unit

How do the records compare in VASP energy? In the order shown, they have -9.14; -3.73; -4.89; -8.42 eV/atom.
How do the records compare in DFT formation energy? In the order shown, they have -375; 173; -472; -61 meV per atom.